DFT (PBE-GGA) results for a geometry-optimized Nd2MgCu4Sn3 structure.

```
Nd2MgCu4Sn3
1.0
-0.0817 4.3443 0.6388
-4.2456 -0.2413 1.0975
2.7778 -1.4799 10.4205
Mg Cu Sn Nd
1 4 3 2
direct
0.5000 0.5000 0.5000
0.5000 0.5000 0.0000
0.0000 0.5000 0.3637
0.5000 0.0000 0.6363
0.0000 0.0000 0.0000
0.0000 0.5000 0.1315
0.5000 0.0000 0.8685
0.0000 0.0000 0.5000
0.5000 0.0000 0.2365
0.0000 0.5000 0.7635
```

Results
As for the crystal system: tetragonal. Its energy relative to the elements is -0.411 eV per atom.

DFT (PBE-GGA) results for a geometry-optimized Mg2FeHg structure.

```
Mg2FeHg
1.0
4.7181 0.0000 0.0000
0.0000 3.0509 -0.2824
0.0000 0.4714 5.0524
Mg Fe Hg
2 1 1
direct
0.0000 0.1243 0.9453
0.5000 0.1257 0.3172
0.0000 0.6251 0.4461
0.5000 0.6248 0.7913
```

Results
As for the crystal system: orthorhombic. Its energy relative to the elements is 0.145 eV per atom.

DFT (PBE-GGA) results for a geometry-optimized GeTe2BrCl structure.

```
GeTe2BrCl
1.0
5.4491 0.0000 0.0000
0.0000 5.1652 0.0000
0.0000 0.0000 5.4491
Te Br Ge Cl
2 1 1 1
direct
0.5000 0.0000 0.0000
0.0000 0.0000 0.5000
0.0000 0.5000 0.0000
0.5000 0.5000 0.5000
0.0000 0.0000 0.0000
```

Results
As for the crystal system: tetragonal. The value obtained for the formation energy without anion corrections is 3.242 eV/f.u.

What did we get for D(E_F)? Answer: 4.73; 3.82; 1.56 states/eV/f.u., in the order shown.